! InCuTe3W (GGA-PBE, optimized geometry); values from VASP
&SYSTEM
  ibrav = 0, nat = 12, ntyp = 4
/
ATOMIC_SPECIES
In 114.82 In.upf
Cu 63.55 Cu.upf
Te 127.60 Te.upf
W 183.84 W.upf
ATOMIC_POSITIONS angstrom
In 1.8856 3.9459 7.6875
In 1.8856 -3.9459 2.5625
Cu 1.8856 0.5708 2.5625
Cu 1.8856 -0.5708 7.6875
Te 1.8856 6.5695 2.5625
Te 1.8856 2.0165 0.4465
Te 1.8856 2.0165 4.6784
Te 1.8856 -2.0165 5.5715
Te 1.8856 -2.0165 9.8034
Te 1.8856 -6.5695 7.6875
W 0.0000 0.0000 0.0000
W 0.0000 0.0000 5.1250
CELL_PARAMETERS angstrom
1.8856 -7.7625 0.0000
1.8856 7.7625 0.0000
0.0000 0.0000 10.2499
! **Calculated total energy**: -4.68 eV per atom
! **Calculated volume**: 150 Å³/f.u.
! **Magnetic moment**: 0.021 μB/atom